The following is a DFT calculation (GGA-PBE) of a relaxed structure of BeHgSb2.

- crystal system = tetragonal
- energy above the most stable polymorph in this dataset (meV/atom) = 417
- D(E_F) (states/eV per atom) = 0.6273
- E_form (uncorrected) (eV/atom) = 0.60

a = 4.845 Å, b = 4.845 Å, c = 3.916 Å
α = 90.00°, β = 90.00°, γ = 90.00°
Element x y z (fractional)
Be1 0.000 0.000 0.000
Hg1 0.500 0.500 0.000
Sb1 0.000 0.500 0.500
Sb2 0.500 0.000 0.500